# 1
Below is Pm2SmYTl2 after structural relaxation, with properties calculated at the PBE-GGA level.

a = 5.2020 Å, b = 10.1995 Å, c = 6.8856 Å
α = 90.00°, β = 90.00°, γ = 90.00°
With the nearest neighbours (Å) after each atom.
Sites, in units of the cell vectors:
1 Pm 0.0000 0.0434 0.0000  5 Tl 3.30-3.63, 4 Pm 3.52-3.55
2 Pm 0.0000 0.9566 0.5000  5 Tl 3.30-3.63, 4 Pm 3.52-3.55
3 Pm 0.5000 0.1835 0.2754  4 Tl 3.25-3.33, 2 Pm 3.52
4 Pm 0.5000 0.8165 0.7754  4 Tl 3.25-3.33, 2 Pm 3.52
5 Sm 0.5000 0.4582 0.9106  5 Tl 3.27-3.56, 2 Sm 3.55, 2 Y 3.55
6 Sm 0.5000 0.5418 0.4106  5 Tl 3.27-3.56, 2 Sm 3.55, 2 Y 3.55
7 Y 0.0000 0.3145 0.6310  4 Tl 3.23-3.24, 2 Sm 3.55
8 Y 0.0000 0.6855 0.1310  4 Tl 3.23-3.24, 2 Sm 3.55
9 Tl 0.0000 0.3696 0.1681  2 Y 3.23-3.24, 4 Sm 3.27-3.56, 3 Pm 3.30-3.52
10 Tl 0.0000 0.6304 0.6681  2 Y 3.23-3.24, 4 Sm 3.27-3.56, 3 Pm 3.30-3.52
11 Tl 0.5000 0.1421 0.7441  2 Y 3.23, 4 Pm 3.25-3.33, 1 Sm 3.42
12 Tl 0.5000 0.8579 0.2441  2 Y 3.23, 4 Pm 3.25-3.33, 1 Sm 3.42

Its raw total energy is -4.52 eV per atom. For the formation energy, the calculation gives -0.283 eV per atom. For the density of states at the Fermi level, the calculation gives 1.110 states/eV/atom. For the size of the total moment, the calculation gives 0.000 μB/atom.

=====

# 2
Below is Hf2Zr3Pd4 after structural relaxation, with properties calculated at the PBE-GGA level.

a = 4.6780 Å, b = 4.6780 Å, c = 9.0878 Å
α = 90.05°, β = 90.05°, γ = 60.00°
With the nearest neighbours (Å) after each atom.
Sites, in units of the cell vectors:
1 Hf 0.1668 0.1668 0.2823  7 Pd 2.86-2.93
2 Hf 0.8332 0.8332 0.7177  7 Pd 2.86-2.93
3 Zr 0.1666 0.1666 0.9216  4 Pd 2.80-2.95, 3 Zr 3.05
4 Zr 0.5000 0.5000 0.5000  8 Pd 2.84-3.10
5 Zr 0.8334 0.8334 0.0784  4 Pd 2.80-2.95, 3 Zr 3.05
6 Pd 0.1669 0.1669 0.5975  4 Zr 2.84-2.95, 4 Hf 2.86-2.92
7 Pd 0.5003 0.5003 0.1590  4 Zr 2.80-3.10, 1 Pd 2.89, 3 Hf 2.92-2.93
8 Pd 0.4997 0.4997 0.8410  4 Zr 2.80-3.10, 1 Pd 2.89, 3 Hf 2.92-2.93
9 Pd 0.8331 0.8331 0.4025  4 Zr 2.84-2.95, 4 Hf 2.86-2.92

Its raw total energy is -7.86 eV per atom. For the formation energy, the calculation gives -0.496 eV per atom. For the density of states at the Fermi level, the calculation gives 1.010 states/eV/atom. For the size of the total moment, the calculation gives 0.000 μB/atom.